Sr2ZnCd2Ag4: optimized geometry, PBE-GGA.

CIF file:
```
data_Sr2ZnCd2Ag4
_chemical_formula_sum 'Sr4 Zn2 Cd4 Ag8'
_cell_length_a 6.918
_cell_length_b 6.918
_cell_length_c 9.283
_cell_angle_alpha 90.00
_cell_angle_beta 90.00
_cell_angle_gamma 90.00
_space_group_name_H-M_alt 'I 4/m m m'
_space_group_IT_number 139
_space_group_name_Hall '-I 4 2'
loop_
_atom_site_label
_atom_site_type_symbol
_atom_site_fract_x
_atom_site_fract_y
_atom_site_fract_z
Sr1 Sr 0.000 0.500 0.250
Zn1 Zn 0.000 0.000 0.000
Cd1 Cd 0.000 0.000 0.296
Ag1 Ag 0.229 0.229 0.500
```

Output
- spin magnetization (μB/f.u.) = 0.00
- N(E_F) (states/eV/cell) = 6.21
- formation enthalpy at 0 K (eV/atom) = -0.165